An optimized crystal structure of AcZn5Pd3, computed with PBE-GGA.

Computed properties:
As for the space group: Cmcm. The total magnetization is 0.00 μB/f.u. The calculation puts the formation energy at -0.4787 eV per atom.

Cell lengths 4.2198, 6.8409, 12.2989 Å; angles 90.00, 90.00, 107.96 degrees
Closest atoms and distances in Å follow each position.
Fractional positions:
Zn  0.0000  0.0000  0.0000  2 Zn 2.61, 4 Pd 2.63
Zn  0.4286  0.8573  0.3526  1 Zn 2.52, 4 Pd 2.56-2.61
Zn  0.1959  0.3919  0.5461  4 Pd 2.55-2.71, 3 Zn 2.61-2.78
Zn  0.5714  0.1427  0.6474  1 Zn 2.52, 4 Pd 2.56-2.61
Zn  0.8041  0.6081  0.0461  4 Pd 2.55-2.71, 3 Zn 2.61-2.78
Zn  0.5714  0.1427  0.8526  1 Zn 2.52, 4 Pd 2.56-2.61
Zn  0.4286  0.8573  0.1474  1 Zn 2.52, 4 Pd 2.56-2.61
Zn  0.0000  0.0000  0.5000  2 Zn 2.61, 4 Pd 2.63
Zn  0.1959  0.3919  0.9539  4 Pd 2.55-2.71, 3 Zn 2.61-2.78
Zn  0.8041  0.6081  0.4539  4 Pd 2.55-2.71, 3 Zn 2.61-2.78
Pd  0.6085  0.2171  0.0571  7 Zn 2.55-2.71
Pd  0.8605  0.7210  0.2500  6 Zn 2.61
Pd  0.3915  0.7829  0.5571  7 Zn 2.55-2.71
Pd  0.3915  0.7829  0.9429  7 Zn 2.55-2.71
Pd  0.6085  0.2171  0.4429  7 Zn 2.55-2.71
Pd  0.1395  0.2790  0.7500  6 Zn 2.61
Ac  0.1614  0.3227  0.2500  6 Pd 3.25-3.34
Ac  0.8386  0.6773  0.7500  6 Pd 3.25-3.34